Entry 1:
The following is a DFT calculation (PBE) of a geometry-optimized La2Pm2PrNd2 structure.

Calculated values
The total energy comes out at -33.55 eV per cell.

Unit cell a=6.4069 b=6.4069 c=8.2698 alpha=97.35 beta=97.35 gamma=48.16
With the nearest neighbours (Å) after each atom.
Fractional coordinates of all 7 atoms:
La: 0.1430 0.1430 0.4275  1 Pr 3.69, 5 Nd 3.70-3.71, 3 La 3.70-3.71, 3 Pm 3.70-3.72
La: 0.8570 0.8570 0.5725  1 Pr 3.69, 5 Nd 3.70-3.71, 3 La 3.70-3.71, 3 Pm 3.70-3.72
Pm: 0.2845 0.2845 0.8588  2 Pm 3.67, 3 Pr 3.68-3.71, 4 Nd 3.68-3.71, 3 La 3.70-3.72
Pm: 0.7155 0.7155 0.1412  2 Pm 3.67, 3 Pr 3.68-3.71, 4 Nd 3.68-3.71, 3 La 3.70-3.72
Pr: 0.0000 0.0000 0.0000  6 Pm 3.68-3.71, 4 Nd 3.69, 2 La 3.69
Nd: 0.4286 0.4286 0.2838  4 Pm 3.68-3.71, 2 Pr 3.69, 5 La 3.70-3.71, 1 Nd 3.73
Nd: 0.5714 0.5714 0.7162  4 Pm 3.68-3.71, 2 Pr 3.69, 5 La 3.70-3.71, 1 Nd 3.73

---

Entry 2:
The following is a DFT calculation (PBE) of a geometry-optimized La2Pm2PrNd structure.

Calculated values
The total energy comes out at -55.10 eV per cell.

Unit cell a=6.7957 b=18.3852 c=3.4991 alpha=90.00 beta=90.00 gamma=90.00
With the nearest neighbours (Å) after each atom.
Fractional coordinates of all 12 atoms:
La: 0.2249 0.1853 0.0000  4 Pm 3.43-3.53, 2 La 3.50, 1 Pr 3.73
La: 0.2751 0.6853 0.5000  4 Pm 3.43-3.53, 2 La 3.50, 1 Pr 3.73
La: 0.7249 0.3147 0.5000  4 Pm 3.43-3.53, 2 La 3.50, 1 Pr 3.73
La: 0.7751 0.8147 0.0000  4 Pm 3.43-3.53, 2 La 3.50, 1 Pr 3.73
Pm: 0.2198 0.3520 0.5000  1 Pr 3.32, 4 La 3.43-3.53, 2 Pm 3.50, 2 Nd 3.56
Pm: 0.2802 0.8520 0.0000  1 Pr 3.32, 4 La 3.43-3.53, 2 Pm 3.50, 2 Nd 3.56
Pm: 0.7198 0.1480 0.0000  1 Pr 3.32, 4 La 3.43-3.53, 2 Pm 3.50, 2 Nd 3.56
Pm: 0.7802 0.6480 0.5000  1 Pr 3.32, 4 La 3.43-3.53, 2 Pm 3.50, 2 Nd 3.56
Pr: 0.0000 0.0000 0.0000  2 Pm 3.32, 2 Pr 3.50
Pr: 0.5000 0.5000 0.5000  2 Pm 3.32, 2 Pr 3.50
Nd: 0.0000 0.5000 0.0000  2 Nd 3.50, 4 Pm 3.56, 4 Pr 3.82
Nd: 0.5000 0.0000 0.5000  2 Nd 3.50, 4 Pm 3.56, 4 Pr 3.82

---

Entry 3:
The following is a DFT calculation (PBE) of a geometry-optimized La2PmNdPt2 structure.

Calculated values
The total energy comes out at -72.22 eV per cell.

Unit cell a=8.7178 b=8.7178 c=8.7178 alpha=132.23 beta=69.86 gamma=132.24
With the nearest neighbours (Å) after each atom.
Fractional coordinates of all 12 atoms:
La: 0.1936 0.2172 0.4109  1 Pt 2.81
La: 0.3064 0.7172 0.0236  1 Pt 2.81
La: 0.6936 0.2828 0.9764  1 Pt 2.81
La: 0.8064 0.7828 0.5891  1 Pt 2.81
Pm: 0.2500 0.2500 0.0000  4 Pt 2.91
Pm: 0.7500 0.7500 0.0000  4 Pt 2.91
Nd: 0.2500 0.7500 0.5000  4 Pt 3.00
Nd: 0.7500 0.2500 0.5000  4 Pt 3.00
Pt: 0.1111 0.7608 0.8719  1 La 2.81, 2 Pm 2.91, 2 Nd 3.00
Pt: 0.3889 0.2608 0.6496  1 La 2.81, 2 Pm 2.91, 2 Nd 3.00
Pt: 0.6111 0.7392 0.3504  1 La 2.81, 2 Pm 2.91, 2 Nd 3.00
Pt: 0.8889 0.2392 0.1281  1 La 2.81, 2 Pm 2.91, 2 Nd 3.00

---

Entry 4:
The following is a DFT calculation (PBE) of a geometry-optimized La3PmNd4S8 structure.

Calculated values
For the uncorrected formation energy, the calculation gives -2.08 eV per atom.

Unit cell a=8.1920 b=8.1920 c=8.1920 alpha=60.07 beta=60.07 gamma=60.07
With the nearest neighbours (Å) after each atom.
Fractional coordinates of all 16 atoms:
La: 0.0000 0.5000 0.5000  6 S 2.92
La: 0.5000 0.0000 0.5000  6 S 2.92
La: 0.5000 0.5000 0.0000  6 S 2.92
Pm: 0.0000 0.0000 0.0000  6 S 2.88
Nd: 0.0000 0.0000 0.5000  6 S 2.88
Nd: 0.0000 0.5000 0.0000  6 S 2.88
Nd: 0.5000 0.0000 0.0000  6 S 2.88
Nd: 0.5000 0.5000 0.5000  6 S 2.91
S: 0.2457 0.7512 0.7512  3 Nd 2.88-2.91, 1 Pm 2.88, 2 La 2.92
S: 0.2484 0.2484 0.2484  3 Nd 2.88, 3 La 2.92
S: 0.2488 0.2488 0.7543  3 Nd 2.88-2.91, 1 Pm 2.88, 2 La 2.92
S: 0.2488 0.7543 0.2488  3 Nd 2.88-2.91, 1 Pm 2.88, 2 La 2.92
S: 0.7512 0.2457 0.7512  3 Nd 2.88-2.91, 1 Pm 2.88, 2 La 2.92
S: 0.7512 0.7512 0.2457  3 Nd 2.88-2.91, 1 Pm 2.88, 2 La 2.92
S: 0.7516 0.7516 0.7516  3 Nd 2.88, 3 La 2.92
S: 0.7543 0.2488 0.2488  3 Nd 2.88-2.91, 1 Pm 2.88, 2 La 2.92

---

Entry 5:
The following is a DFT calculation (PBE) of a geometry-optimized La4PmNd3S8 structure.

Calculated values
For the uncorrected formation energy, the calculation gives -2.10 eV per atom.

Unit cell a=8.2145 b=8.2145 c=8.2145 alpha=60.06 beta=60.06 gamma=60.06
With the nearest neighbours (Å) after each atom.
Fractional coordinates of all 16 atoms:
La: 0.0000 0.0000 0.0000  6 S 2.94
La: 0.0000 0.5000 0.5000  6 S 2.92
La: 0.5000 0.0000 0.5000  6 S 2.92
La: 0.5000 0.5000 0.0000  6 S 2.92
Pm: 0.5000 0.5000 0.5000  6 S 2.87
Nd: 0.0000 0.0000 0.5000  6 S 2.89
Nd: 0.0000 0.5000 0.0000  6 S 2.89
Nd: 0.5000 0.0000 0.0000  6 S 2.89
S: 0.2484 0.2484 0.2484  3 Nd 2.89, 3 La 2.92
S: 0.2496 0.7472 0.7472  1 Pm 2.87, 2 Nd 2.89, 3 La 2.92-2.94
S: 0.2528 0.2528 0.7504  1 Pm 2.87, 2 Nd 2.89, 3 La 2.92-2.94
S: 0.2528 0.7504 0.2528  1 Pm 2.87, 2 Nd 2.89, 3 La 2.92-2.94
S: 0.7472 0.2496 0.7472  1 Pm 2.87, 2 Nd 2.89, 3 La 2.92-2.94
S: 0.7472 0.7472 0.2496  1 Pm 2.87, 2 Nd 2.89, 3 La 2.92-2.94
S: 0.7504 0.2528 0.2528  1 Pm 2.87, 2 Nd 2.89, 3 La 2.92-2.94
S: 0.7516 0.7516 0.7516  3 Nd 2.89, 3 La 2.92

---

Entry 6:
The following is a DFT calculation (PBE) of a geometry-optimized LaPmNd2S4 structure.

Calculated values
For the uncorrected formation energy, the calculation gives -2.06 eV per atom.

Unit cell a=8.1666 b=8.1666 c=8.1666 alpha=120.03 beta=119.96 gamma=90.02
With the nearest neighbours (Å) after each atom.
Fractional coordinates of all 16 atoms:
La: 0.0000 0.0000 0.0000  6 S 2.90-2.91
La: 0.5000 0.0000 0.5000  6 S 2.90-2.91
Pm: 0.5000 0.0000 0.0000  6 S 2.87
Pm: 0.5000 0.5000 0.5000  6 S 2.87
Nd: 0.0000 0.0000 0.5000  6 S 2.90
Nd: 0.0000 0.5000 0.0000  6 S 2.90
Nd: 0.0000 0.5000 0.5000  6 S 2.87
Nd: 0.5000 0.5000 0.0000  6 S 2.87
S: 0.2512 0.2543 0.5031  3 Nd 2.87-2.90, 1 Pm 2.87, 2 La 2.91
S: 0.2512 0.7481 0.9969  3 Nd 2.87-2.90, 1 Pm 2.87, 2 La 2.91
S: 0.2509 0.7486 0.5023  3 Nd 2.87-2.90, 2 Pm 2.87, 1 La 2.90
S: 0.2538 0.2514 0.0023  3 Nd 2.87-2.90, 2 Pm 2.87, 1 La 2.90
S: 0.7462 0.7486 0.9977  3 Nd 2.87-2.90, 2 Pm 2.87, 1 La 2.90
S: 0.7491 0.2514 0.4977  3 Nd 2.87-2.90, 2 Pm 2.87, 1 La 2.90
S: 0.7488 0.2519 0.0031  3 Nd 2.87-2.90, 1 Pm 2.87, 2 La 2.91
S: 0.7488 0.7457 0.4969  3 Nd 2.87-2.90, 1 Pm 2.87, 2 La 2.91

---

Entry 7:
The following is a DFT calculation (PBE) of a geometry-optimized La4Pm3NdS8 structure.

Calculated values
For the uncorrected formation energy, the calculation gives -2.10 eV per atom.

Unit cell a=8.1953 b=8.1953 c=8.1953 alpha=60.05 beta=60.05 gamma=60.05
With the nearest neighbours (Å) after each atom.
Fractional coordinates of all 16 atoms:
La: 0.0000 0.0000 0.0000  6 S 2.92
La: 0.0000 0.5000 0.5000  6 S 2.93
La: 0.5000 0.0000 0.5000  6 S 2.93
La: 0.5000 0.5000 0.0000  6 S 2.93
Pm: 0.0000 0.0000 0.5000  6 S 2.87
Pm: 0.0000 0.5000 0.0000  6 S 2.87
Pm: 0.5000 0.0000 0.0000  6 S 2.87
Nd: 0.5000 0.5000 0.5000  6 S 2.88
S: 0.2460 0.7484 0.7484  2 Pm 2.87, 1 Nd 2.88, 3 La 2.92-2.93
S: 0.2472 0.2472 0.2472  3 Pm 2.87, 3 La 2.93
S: 0.2516 0.2516 0.7540  2 Pm 2.87, 1 Nd 2.88, 3 La 2.92-2.93
S: 0.2516 0.7540 0.2516  2 Pm 2.87, 1 Nd 2.88, 3 La 2.92-2.93
S: 0.7484 0.2460 0.7484  2 Pm 2.87, 1 Nd 2.88, 3 La 2.92-2.93
S: 0.7484 0.7484 0.2460  2 Pm 2.87, 1 Nd 2.88, 3 La 2.92-2.93
S: 0.7528 0.7528 0.7528  3 Pm 2.87, 3 La 2.93
S: 0.7540 0.2516 0.2516  2 Pm 2.87, 1 Nd 2.88, 3 La 2.92-2.93

---

Entry 8:
The following is a DFT calculation (PBE) of a geometry-optimized La2Pm3NdS6 structure.

Calculated values
For the uncorrected formation energy, the calculation gives -2.08 eV per atom.

Unit cell a=7.0700 b=7.0700 c=7.0669 alpha=99.60 beta=99.60 gamma=120.13
With the nearest neighbours (Å) after each atom.
Fractional coordinates of all 12 atoms:
La: 0.1662 0.8338 0.0000  6 S 2.91-2.92
La: 0.8338 0.1662 0.0000  6 S 2.91-2.92
Pm: 0.0000 0.0000 0.5000  6 S 2.86-2.87
Pm: 0.3333 0.6667 0.5000  6 S 2.85-2.87
Pm: 0.6667 0.3333 0.5000  6 S 2.85-2.87
Nd: 0.5000 0.5000 0.0000  6 S 2.90
S: 0.0835 0.4147 0.7439  3 Pm 2.85-2.87, 1 Nd 2.90, 2 La 2.91-2.92
S: 0.2549 0.2549 0.2572  3 Pm 2.85-2.87, 1 Nd 2.90, 2 La 2.92
S: 0.4147 0.0835 0.7439  3 Pm 2.85-2.87, 1 Nd 2.90, 2 La 2.91-2.92
S: 0.5853 0.9165 0.2561  3 Pm 2.85-2.87, 1 Nd 2.90, 2 La 2.91-2.92
S: 0.7451 0.7451 0.7428  3 Pm 2.85-2.87, 1 Nd 2.90, 2 La 2.92
S: 0.9165 0.5853 0.2561  3 Pm 2.85-2.87, 1 Nd 2.90, 2 La 2.91-2.92

---

Entry 9:
The following is a DFT calculation (PBE) of a geometry-optimized La3PmNd3S8 structure.

Calculated values
For the uncorrected formation energy, the calculation gives -2.10 eV per atom.

Unit cell a=8.2378 b=8.2378 c=8.2378 alpha=59.46 beta=59.46 gamma=59.46
With the nearest neighbours (Å) after each atom.
Fractional coordinates of all 15 atoms:
La: 0.0000 0.5000 0.5000  6 S 2.92
La: 0.5000 0.0000 0.5000  6 S 2.92
La: 0.5000 0.5000 0.0000  6 S 2.92
Pm: 0.5000 0.5000 0.5000  6 S 2.85
Nd: 0.0000 0.0000 0.5000  6 S 2.88
Nd: 0.0000 0.5000 0.0000  6 S 2.88
Nd: 0.5000 0.0000 0.0000  6 S 2.88
S: 0.2485 0.2485 0.2485  3 Nd 2.88, 3 La 2.92
S: 0.2509 0.7459 0.7459  1 Pm 2.85, 2 Nd 2.88, 2 La 2.92
S: 0.2541 0.2541 0.7491  1 Pm 2.85, 2 Nd 2.88, 2 La 2.92
S: 0.2541 0.7491 0.2541  1 Pm 2.85, 2 Nd 2.88, 2 La 2.92
S: 0.7459 0.2509 0.7459  1 Pm 2.85, 2 Nd 2.88, 2 La 2.92
S: 0.7459 0.7459 0.2509  1 Pm 2.85, 2 Nd 2.88, 2 La 2.92
S: 0.7491 0.2541 0.2541  1 Pm 2.85, 2 Nd 2.88, 2 La 2.92
S: 0.7515 0.7515 0.7515  3 Nd 2.88, 3 La 2.92

---

Entry 10:
The following is a DFT calculation (PBE) of a geometry-optimized La3Pm4NdS8 structure.

Calculated values
For the uncorrected formation energy, the calculation gives -2.08 eV per atom.

Unit cell a=8.1703 b=8.1703 c=8.1703 alpha=59.97 beta=59.97 gamma=59.97
With the nearest neighbours (Å) after each atom.
Fractional coordinates of all 16 atoms:
La: 0.0000 0.5000 0.5000  6 S 2.92
La: 0.5000 0.0000 0.5000  6 S 2.92
La: 0.5000 0.5000 0.0000  6 S 2.92
Pm: 0.0000 0.0000 0.5000  6 S 2.86
Pm: 0.0000 0.5000 0.0000  6 S 2.86
Pm: 0.5000 0.0000 0.0000  6 S 2.86
Pm: 0.5000 0.5000 0.5000  6 S 2.87
Nd: 0.0000 0.0000 0.0000  6 S 2.90
S: 0.2459 0.7488 0.7488  3 Pm 2.86-2.87, 1 Nd 2.90, 2 La 2.92
S: 0.2472 0.2472 0.2472  3 Pm 2.86, 3 La 2.92
S: 0.2512 0.2512 0.7541  3 Pm 2.86-2.87, 1 Nd 2.90, 2 La 2.92
S: 0.2512 0.7541 0.2512  3 Pm 2.86-2.87, 1 Nd 2.90, 2 La 2.92
S: 0.7488 0.2459 0.7488  3 Pm 2.86-2.87, 1 Nd 2.90, 2 La 2.92
S: 0.7488 0.7488 0.2459  3 Pm 2.86-2.87, 1 Nd 2.90, 2 La 2.92
S: 0.7528 0.7528 0.7528  3 Pm 2.86, 3 La 2.92
S: 0.7541 0.2512 0.2512  3 Pm 2.86-2.87, 1 Nd 2.90, 2 La 2.92

---

Entry 11:
The following is a DFT calculation (PBE) of a geometry-optimized LaPm2Nd3S6 structure.

Calculated values
For the uncorrected formation energy, the calculation gives -2.06 eV per atom.

Unit cell a=7.0617 b=7.0617 c=7.0450 alpha=99.61 beta=99.61 gamma=120.15
With the nearest neighbours (Å) after each atom.
Fractional coordinates of all 12 atoms:
La: 0.0000 0.0000 0.0000  6 S 2.90
Pm: 0.3328 0.6672 0.0000  6 S 2.86-2.87
Pm: 0.6672 0.3328 0.0000  6 S 2.86-2.87
Nd: 0.1659 0.8341 0.5000  6 S 2.86-2.89
Nd: 0.5000 0.5000 0.5000  6 S 2.86-2.89
Nd: 0.8341 0.1659 0.5000  6 S 2.86-2.89
S: 0.0835 0.4207 0.2500  3 Nd 2.86-2.89, 2 Pm 2.86-2.87, 1 La 2.90
S: 0.2548 0.2548 0.7517  3 Nd 2.86-2.89, 2 Pm 2.87, 1 La 2.90
S: 0.4207 0.0835 0.2500  3 Nd 2.86-2.89, 2 Pm 2.86-2.87, 1 La 2.90
S: 0.5793 0.9165 0.7500  3 Nd 2.86-2.89, 2 Pm 2.86-2.87, 1 La 2.90
S: 0.7452 0.7452 0.2483  3 Nd 2.86-2.89, 2 Pm 2.87, 1 La 2.90
S: 0.9165 0.5793 0.7500  3 Nd 2.86-2.89, 2 Pm 2.86-2.87, 1 La 2.90

---

Entry 12:
The following is a DFT calculation (PBE) of a geometry-optimized LaPmNd2Sb4 structure.

Calculated values
For the uncorrected formation energy, the calculation gives -1.21 eV per atom.

Unit cell a=7.8670 b=4.5466 c=7.8675 alpha=90.00 beta=109.47 gamma=90.00
With the nearest neighbours (Å) after each atom.
Fractional coordinates of all 8 atoms:
La: 0.0000 0.0000 0.0000  6 Sb 3.23
Pm: 0.5000 0.5000 0.0000  6 Sb 3.20-3.21
Nd: 0.0000 0.5000 0.5000  6 Sb 3.22
Nd: 0.5000 0.0000 0.5000  6 Sb 3.19
Sb: 0.2528 0.0000 0.7499  3 Nd 3.19-3.22, 2 Pm 3.21, 1 La 3.23
Sb: 0.2536 0.5000 0.2522  3 Nd 3.19-3.22, 1 Pm 3.20, 2 La 3.23
Sb: 0.7464 0.5000 0.7478  3 Nd 3.19-3.22, 1 Pm 3.20, 2 La 3.23
Sb: 0.7472 0.0000 0.2501  3 Nd 3.19-3.22, 2 Pm 3.21, 1 La 3.23

---

Number 1: density of states at the Fermi level 1.889 states/eV per atom, total moment 0.0 μB per cell. Number 2: density of states at the Fermi level 1.980 states/eV per atom, total moment 0.0 μB per cell. Number 3: density of states at the Fermi level 1.088 states/eV per atom, total moment 0.0 μB per cell. Number 4: density of states at the Fermi level 0.551 states/eV per atom, total moment 0.0 μB per cell. Number 5: density of states at the Fermi level 0.543 states/eV per atom, total moment 0.0 μB per cell. Number 6: density of states at the Fermi level 0.552 states/eV per atom, total moment 0.0 μB per cell. Number 7: density of states at the Fermi level 0.549 states/eV per atom, total moment 0.0 μB per cell. Number 8: density of states at the Fermi level 0.474 states/eV per atom, total moment 0.0 μB per cell. Number 9: density of states at the Fermi level 0.511 states/eV per atom, total moment 0.0 μB per cell. Number 10: density of states at the Fermi level 0.553 states/eV per atom, total moment 0.0 μB per cell. Number 11: density of states at the Fermi level 0.452 states/eV per atom, total moment 0.0 μB per cell. Number 12: density of states at the Fermi level 0.113 states/eV per atom, total moment 0.0 μB per cell.